1.
Here is an optimized crystal structure of FeN from the Open Quantum Materials Database. Energies are from PBE.

```
2
Lattice="-1.4976 1.4976 2.0864 1.4976 -1.4976 2.0864 1.4976 1.4976 -2.0864" Properties=species:S:1:pos:R:3 pbc="T T T"
Fe 0.0000 0.0000 0.0000
N 0.0000 1.4976 1.0432
```

Calculated values
SG = I-4m2, No. 119
E = -16.884 eV for the cell shown


2.
Here is an optimized crystal structure of FeN from the Open Quantum Materials Database. Energies are from PBE.

```
8
Lattice="4.9884 0.0000 0.0000 0.0000 2.7554 0.0000 0.0000 0.0000 5.2269" Properties=species:S:1:pos:R:3 pbc="T T T"
Fe 0.0000 0.0000 0.0000
Fe 1.2471 1.3777 2.5054
Fe 2.4942 0.0000 0.0000
Fe 3.7413 1.3777 2.7215
N 1.2471 0.0000 3.6556
N 1.2471 1.3777 0.6853
N 3.7413 0.0000 1.5713
N 3.7413 1.3777 4.5415
```

Calculated values
SG = Pmma, No. 51
E = -64.498 eV for the cell shown


3.
Here is an optimized crystal structure of Fe7N3 from the Open Quantum Materials Database. Energies are from PBE.

```
20
Lattice="7.4380 0.0000 0.0000 -3.7190 6.4415 0.0000 0.0000 0.0000 4.0498" Properties=species:S:1:pos:R:3 pbc="T T T"
Fe -1.2564 3.5689 0.0000
Fe 0.0000 1.8295 2.0307
Fe -2.1346 5.5267 2.0307
Fe 1.5844 0.9148 0.0058
Fe 0.0000 4.2943 2.0240
Fe 1.2564 3.5689 0.0000
Fe 0.0000 5.7451 0.0000
Fe 3.7190 0.6964 2.0249
Fe 2.4626 2.8726 2.0249
Fe 3.7190 2.1472 4.0489
Fe 2.1346 5.5267 2.0307
Fe 5.8536 0.9148 0.0058
Fe 3.7190 4.6120 0.0058
Fe 4.9754 2.8726 2.0249
N 0.0000 2.0907 0.0048
N -1.9084 5.3961 0.0048
N 1.8106 1.0454 2.0297
N 1.9084 5.3961 0.0048
N 5.6274 1.0454 2.0297
N 3.7190 4.3508 2.0297
```

Calculated values
SG = P6_3mc, No. 186
E = -165.167 eV for the cell shown


4.
Here is an optimized crystal structure of Fe5N from the Open Quantum Materials Database. Energies are from PBE.

```
6
Lattice="4.5046 0.0000 0.0000 -2.2523 3.9011 0.0000 0.0000 0.0000 4.1977" Properties=species:S:1:pos:R:3 pbc="T T T"
Fe -1.1262 1.9506 0.0000
Fe 0.0000 2.6007 2.0989
Fe 2.2523 0.0000 0.0000
Fe 1.1262 1.9506 0.0000
Fe 2.2523 1.3004 2.0989
N 0.0000 0.0000 2.0989
```

Calculated values
SG = P6/mmm, No. 191
E = -42.692 eV for the cell shown


5.
Here is an optimized crystal structure of Fe2N from the Open Quantum Materials Database. Energies are from PBE.

```
6
Lattice="0.0000 4.0870 4.0870 4.0870 0.0000 4.0870 4.0870 4.0870 0.0000" Properties=species:S:1:pos:R:3 pbc="T T T"
Fe 0.0000 0.0000 0.0000
Fe 2.0435 2.0435 0.0000
Fe 2.0435 0.0000 2.0435
Fe 0.0000 2.0435 2.0435
N 1.0218 1.0218 1.0218
N 7.1523 7.1523 7.1523
```

Calculated values
SG = Fd-3m, No. 227
E = -44.639 eV for the cell shown


6.
Here is an optimized crystal structure of Fe2N3 from the Open Quantum Materials Database. Energies are from PBE.

```
10
Lattice="2.3545 1.3594 4.3358 -2.3545 1.3594 4.3358 0.0000 -2.7187 4.3358" Properties=species:S:1:pos:R:3 pbc="T T T"
Fe 0.0000 0.0000 1.9861
Fe 0.0000 0.0000 4.5175
Fe 0.0000 0.0000 8.4897
Fe 0.0000 0.0000 11.0212
N -1.5580 0.0201 5.4197
N -0.7965 -1.3392 7.5876
N 0.7616 -1.3594 5.4197
N -0.7616 1.3594 7.5876
N 0.7965 1.3392 5.4197
N 1.5580 -0.0201 7.5876
```

Calculated values
SG = R-3c, No. 167
E = -80.060 eV for the cell shown


Let's list V in order: 9.4; 9.0; 9.7; 12.3; 22.8; 8.3 Å³ per atom.
Let's list total magnetic moment in order: 0.00; 0.39; 1.56; 1.87; 1.46; 0.09 μB/atom.